1:
DFT (PBE) results for an optimized crystal structure of GePdSeO.

Geometry as CIF:
```
data_GePdSeO
_symmetry_space_group_name_H-M 'P 4/n m m'
_symmetry_Int_Tables_number 129
_cell_length_a 4.1999
_cell_length_b 4.1999
_cell_length_c 7.7653
_cell_angle_alpha 90.00
_cell_angle_beta 90.00
_cell_angle_gamma 90.00
loop_
_symmetry_equiv_pos_as_xyz
'x,y,z'
'-x,-y,-z'
'-y+1/2,x,z'
'y+1/2,-x,-z'
'-x+1/2,-y+1/2,z'
'x+1/2,y+1/2,-z'
'y,-x+1/2,z'
'-y,x+1/2,-z'
'x+1/2,-y,-z'
'-x+1/2,y,z'
'-y,-x,-z'
'y,x,z'
'-x,y+1/2,-z'
'x,-y+1/2,z'
'y+1/2,x+1/2,-z'
'-y+1/2,-x+1/2,z'
loop_
_atom_site_label
_atom_site_fract_x
_atom_site_fract_y
_atom_site_fract_z
_atom_site_occupancy
Ge1 0.2500 0.7500 0.0000 1
Pd1 0.2500 0.2500 0.1899 1
Se1 0.2500 0.2500 0.6996 1
O1 0.2500 0.2500 0.4824 1
```

Output
The crystal system is tetragonal.

---

2:
DFT (PBE) results for an optimized crystal structure of GePdSeO.

Geometry as CIF:
```
data_GePdSeO
_symmetry_space_group_name_H-M 'P 4/n m m'
_symmetry_Int_Tables_number 129
_cell_length_a 3.9382
_cell_length_b 3.9382
_cell_length_c 10.2354
_cell_angle_alpha 90.00
_cell_angle_beta 90.00
_cell_angle_gamma 90.00
loop_
_symmetry_equiv_pos_as_xyz
'x,y,z'
'-x,-y,-z'
'-y+1/2,x,z'
'y+1/2,-x,-z'
'-x+1/2,-y+1/2,z'
'x+1/2,y+1/2,-z'
'y,-x+1/2,z'
'-y,x+1/2,-z'
'x+1/2,-y,-z'
'-x+1/2,y,z'
'-y,-x,-z'
'y,x,z'
'-x,y+1/2,-z'
'x,-y+1/2,z'
'y+1/2,x+1/2,-z'
'-y+1/2,-x+1/2,z'
loop_
_atom_site_label
_atom_site_fract_x
_atom_site_fract_y
_atom_site_fract_z
_atom_site_occupancy
Ge1 0.2500 0.2500 0.1032 1
Pd1 0.2500 0.7500 0.5000 1
Se1 0.2500 0.2500 0.6504 1
O1 0.2500 0.2500 0.9321 1
```

Output
The crystal system is tetragonal.

---

Last place for stability: 1

---

1:
DFT (PBE) results for an optimized crystal structure of Pm2Ge2O7.

Geometry as CIF:
```
data_Pm2Ge2O7
_symmetry_space_group_name_H-M 'P 1'
_symmetry_Int_Tables_number 1
_cell_length_a 6.7913
_cell_length_b 6.9179
_cell_length_c 6.9519
_cell_angle_alpha 64.49
_cell_angle_beta 87.31
_cell_angle_gamma 88.33
loop_
_symmetry_equiv_pos_as_xyz
'x,y,z'
loop_
_atom_site_label
_atom_site_fract_x
_atom_site_fract_y
_atom_site_fract_z
_atom_site_occupancy
Pm1 0.0000 0.0000 0.0000 1
Pm2 0.0594 0.5098 0.4854 1
Pm3 0.2978 0.9815 0.4891 1
Pm4 0.5725 0.4242 0.8434 1
Ge1 0.1082 0.4745 0.9714 1
Ge2 0.4662 0.8673 0.0306 1
Ge3 0.5657 0.4240 0.3474 1
Ge4 0.8014 0.9912 0.5017 1
O1 0.0156 0.6121 0.1160 1
O2 0.2495 0.6074 0.7264 1
O3 0.2537 0.2404 0.1007 1
O4 0.2870 0.9583 0.8416 1
O5 0.3424 0.3246 0.4806 1
O6 0.3423 0.7886 0.2808 1
O7 0.5613 0.6035 0.0711 1
O8 0.6152 0.8193 0.6514 1
O9 0.6572 0.0495 0.9644 1
O10 0.6628 0.2027 0.2968 1
O11 0.7113 0.4890 0.5058 1
O12 0.9197 0.3812 0.8610 1
O13 0.9694 0.8785 0.3735 1
O14 0.9730 0.1037 0.6078 1
```

Output
The calculation puts the size of the total moment at 0.00 μB/cell. The crystal system is triclinic.

---

2:
DFT (PBE) results for an optimized crystal structure of Pm2Ge2O7.

Geometry as CIF:
```
data_Pm2Ge2O7
_symmetry_space_group_name_H-M 'P 41 21 2'
_symmetry_Int_Tables_number 92
_cell_length_a 6.9360
_cell_length_b 6.9360
_cell_length_c 12.6692
_cell_angle_alpha 90.00
_cell_angle_beta 90.00
_cell_angle_gamma 90.00
loop_
_symmetry_equiv_pos_as_xyz
'x,y,z'
'-y+1/2,x+1/2,z+1/4'
'-x,-y,z+1/2'
'y+1/2,-x+1/2,z+3/4'
'x+1/2,-y+1/2,-z+3/4'
'-y,-x,-z+1/2'
'-x+1/2,y+1/2,-z+1/4'
'y,x,-z'
loop_
_atom_site_label
_atom_site_fract_x
_atom_site_fract_y
_atom_site_fract_z
_atom_site_occupancy
Pm1 0.1230 0.3489 0.1150 1
Ge1 0.1009 0.1563 0.6275 1
O1 0.0254 0.0735 0.8784 1
O2 0.0594 0.6620 0.1778 1
O3 0.1421 0.3096 0.2959 1
O4 0.2032 0.2032 0.5000 1
```

Output
The calculation puts the size of the total moment at 0.00 μB/cell. The crystal system is tetragonal.

---

Last place for stability: 1